1.
Here is a relaxed structure of LiVHg from Alexandria. Energies are from GGA-PBE.

VASP energy: -3.409 eV per atom
Density of states at the Fermi level: 2.136 states/eV/atom
V: 18.35 A^3/atom

Unit cell a=4.7548 b=4.7548 c=5.6227 alpha=90.00 beta=90.00 gamma=120.00
Space group P6_3/mmc (No. 194)
Inequivalent atoms, fractional coordinates:
1 Li 0.0000 0.0000 0.0000 [2 per cell]
2 V 0.3333 0.6667 0.2500 [2 per cell]
3 Hg 0.3333 0.6667 0.7500 [2 per cell]

2.
Here is a relaxed structure of Mg2H6Au from Alexandria. Energies are from GGA-PBE.

VASP energy: -2.772 eV per atom
Density of states at the Fermi level: 0.077 states/eV/atom
V: 9.05 A^3/atom

Unit cell a=9.6154 b=4.3563 c=4.3594 alpha=90.00 beta=116.87 gamma=90.00
Space group C2/m (No. 12)
Inequivalent atoms, fractional coordinates:
1 Mg 0.2500 0.0000 0.2502 [4 per cell]
2 H 0.0000 0.2236 0.2763 [8 per cell]
3 H 0.2120 0.0000 0.7117 [4 per cell]
4 Au 0.0000 0.5000 0.0000 [2 per cell]

3.
Here is a relaxed structure of LiBPt2 from Alexandria. Energies are from GGA-PBE.

VASP energy: -5.625 eV per atom
Density of states at the Fermi level: 0.408 states/eV/atom
V: 13.25 A^3/atom

Unit cell a=5.3057 b=4.0299 c=9.9129 alpha=90.00 beta=90.00 gamma=90.00
Space group Pnma (No. 62)
Inequivalent atoms, fractional coordinates:
1 Li 0.2504 0.2500 0.1586 [4 per cell]
2 B 0.0719 0.2500 0.8788 [4 per cell]
3 Pt 0.0500 0.7500 0.3192 [4 per cell]
4 Pt 0.1834 0.7500 0.9605 [4 per cell]

4.
Here is a relaxed structure of LiCuHBr2 from Alexandria. Energies are from GGA-PBE.

VASP energy: -2.976 eV per atom
Density of states at the Fermi level: 0.225 states/eV/atom
V: 18.05 A^3/atom

Unit cell a=5.1172 b=5.1172 c=3.4467 alpha=90.00 beta=90.00 gamma=90.00
Space group P4/mmm (No. 123)
Inequivalent atoms, fractional coordinates:
1 Li 0.0000 0.0000 0.0000 [1 per cell]
2 Cu 0.5000 0.5000 0.5000 [1 per cell]
3 H 0.5000 0.5000 0.0000 [1 per cell]
4 Br 0.0000 0.5000 0.5000 [2 per cell]

5.
Here is a relaxed structure of Zn2AgPt from Alexandria. Energies are from GGA-PBE.

VASP energy: -3.152 eV per atom
Density of states at the Fermi level: 0.198 states/eV/atom
V: 15.26 A^3/atom

Unit cell a=2.8836 b=4.6193 c=4.6400 alpha=80.99 beta=89.88 gamma=89.63
Space group P-1 (No. 2)
Inequivalent atoms, fractional coordinates:
1 Zn 0.0000 0.0000 0.0000 [1 per cell]
2 Zn 0.0000 0.5000 0.5000 [1 per cell]
3 Ag 0.5000 0.0000 0.5000 [1 per cell]
4 Pt 0.5000 0.5000 0.0000 [1 per cell]

6.
Here is a relaxed structure of NdBi2Pb from Alexandria. Energies are from GGA-PBE.

VASP energy: -4.484 eV per atom
Density of states at the Fermi level: 0.836 states/eV/atom
V: 31.65 A^3/atom

Unit cell a=4.3190 b=4.3190 c=6.7863 alpha=90.00 beta=90.00 gamma=90.00
Space group P4/mmm (No. 123)
Inequivalent atoms, fractional coordinates:
1 Nd 0.0000 0.0000 0.0000 [1 per cell]
2 Bi 0.5000 0.5000 0.2378 [2 per cell]
3 Pb 0.0000 0.0000 0.5000 [1 per cell]

7.
Here is a relaxed structure of CaDyPdRh from Alexandria. Energies are from GGA-PBE.

VASP energy: -5.491 eV per atom
Density of states at the Fermi level: 0.418 states/eV/atom
V: 20.76 A^3/atom

Unit cell a=6.9258 b=6.9258 c=6.9258 alpha=90.00 beta=90.00 gamma=90.00
Space group F-43m (No. 216)
Inequivalent atoms, fractional coordinates:
1 Ca 0.0000 0.0000 0.0000 [4 per cell]
2 Dy 0.0000 0.0000 0.5000 [4 per cell]
3 Pd 0.2500 0.2500 0.2500 [4 per cell]
4 Rh 0.2500 0.2500 0.7500 [4 per cell]